No. 1
A relaxed NaSr4Ca3 crystal, computed with GGA-PBE.

Summary:
M_tot in μB per atom: 0.00
Formation energy in eV per atom: 0.020
Offset from the most stable computed form in kJ/mol of formula units: 0

The structure in extended XYZ format:
```
8
Lattice="4.146 0.000 0.000 0.000 4.146 0.000 0.000 0.000 22.135" Properties=species:S:1:pos:R:3 pbc="T T T"
Na 0.000 0.000 0.000
Sr 2.073 2.073 2.650
Sr 2.073 2.073 8.271
Sr 2.073 2.073 13.864
Sr 2.073 2.073 19.485
Ca 0.000 0.000 5.465
Ca 0.000 0.000 11.067
Ca 0.000 0.000 16.670
```

No. 2
A relaxed Na3Sr12Ca crystal, computed with GGA-PBE.

Summary:
M_tot in μB per atom: 0.00
Formation energy in eV per atom: 0.031

The structure in extended XYZ format:
```
16
Lattice="5.849 0.000 0.000 0.000 5.849 0.000 0.000 0.000 23.848" Properties=species:S:1:pos:R:3 pbc="T T T"
Na 0.000 0.000 0.000
Na 0.000 0.000 5.967
Na 0.000 0.000 17.881
Sr 0.000 2.924 2.985
Sr 0.000 2.924 8.964
Sr 0.000 2.924 14.885
Sr 0.000 2.924 20.863
Sr 2.924 0.000 2.985
Sr 2.924 0.000 8.964
Sr 2.924 0.000 14.885
Sr 2.924 0.000 20.863
Sr 2.924 2.924 0.000
Sr 2.924 2.924 5.962
Sr 2.924 2.924 11.924
Sr 2.924 2.924 17.887
Ca 0.000 0.000 11.924
```

No. 3
A relaxed NaSr5Ca crystal, computed with GGA-PBE.

Summary:
M_tot in μB per atom: 0.00
Formation energy in eV per atom: 0.110
Offset from the most stable computed form in kJ/mol of formula units: 0

The structure in extended XYZ format:
```
14
Lattice="6.938 -3.752 0.000 6.938 3.752 0.000 -3.785 0.000 14.182" Properties=species:S:1:pos:R:3 pbc="T T T"
Na 0.000 0.000 0.000
Na -1.892 0.000 7.091
Sr 0.604 0.102 9.741
Sr 4.099 1.938 10.636
Sr 2.496 -0.102 2.650
Sr 1.118 0.068 13.660
Sr 3.011 -0.068 6.569
Sr 7.081 0.068 7.612
Sr 8.973 -0.068 0.522
Sr 7.595 0.102 11.531
Sr 5.992 -1.938 3.545
Sr 9.487 -0.102 4.440
Ca 5.992 1.762 3.545
Ca 4.099 -1.762 10.636
```

No. 4
A relaxed Na2Sr3Ca5 crystal, computed with GGA-PBE.

Summary:
M_tot in μB per atom: 0.00
Formation energy in eV per atom: 0.046

The structure in extended XYZ format:
```
20
Lattice="9.956 0.000 0.000 2.104 9.748 0.000 0.320 4.219 9.252" Properties=species:S:1:pos:R:3 pbc="T T T"
Na 1.636 5.460 3.820
Na 6.037 12.845 9.152
Na 6.343 1.122 0.099
Na 10.744 8.507 5.432
Sr 3.690 10.887 5.607
Sr 2.498 2.075 1.826
Sr 4.698 7.666 3.465
Sr 7.682 6.302 5.787
Sr 9.882 11.892 7.426
Sr 8.690 3.080 3.644
Ca 1.008 4.533 7.464
Ca 2.629 6.102 0.225
Ca 3.847 7.155 7.405
Ca 4.591 3.768 5.427
Ca 5.674 4.269 1.719
Ca 6.706 9.698 7.533
Ca 7.789 10.199 3.825
Ca 8.533 6.812 1.847
Ca 9.751 7.865 9.027
Ca 11.372 9.434 1.788
```